{
  "formula": "Ba2FeMoC",
  "functional": "PBE",
  "state": "optimized geometry",
  "m_tot_mub_per_cell": 3.1,
  "total_energy_ha_per_atom": -0.1915,
  "crystal_system": "tetragonal",
  "volume_a3_per_atom": 29.326,
  "formation_energy_kj_per_mol_atoms": 121.8,
  "cell": [[6.049, 0.000, 0.000], [0.000, 6.049, 0.000], [0.000, 0.000, 4.008]],
  "species": ["Ba", "Ba", "Fe", "Mo", "C"],
  "frac_coords": [[0.000, 0.500, 0.000], [0.500, 0.000, 0.000], [0.000, 0.000, 0.500], [0.500, 0.500, 0.000], [0.500, 0.500, 0.500]]
}